(1)
Na3TlHg | PBE | optimized geometry

The structure in CIF format:
```
data_Na3TlHg
_cell_length_a 10.999
_cell_length_b 9.637
_cell_length_c 7.906
_cell_angle_alpha 90.00
_cell_angle_beta 128.50
_cell_angle_gamma 90.00
_symmetry_space_group_name_H-M 'C 1 2/m 1'
_symmetry_Int_Tables_number 12
_symmetry_space_group_name_Hall '-C 2y'
loop_
_atom_site_label
_atom_site_type_symbol
_atom_site_fract_x
_atom_site_fract_y
_atom_site_fract_z
Na1 Na 0.055 0.000 0.349
Na2 Na 0.248 0.190 0.208
Tl1 Tl 0.064 0.500 0.353
Hg1 Hg 0.206 0.500 0.116
```

Density ... 4.80 g/cm³
VASP energy ... -1.40 eV per atom

---

(2)
Na4TlHg2 | PBE | optimized geometry

The structure in CIF format:
```
data_Na4TlHg2
_cell_length_a 5.3273
_cell_length_b 5.3273
_cell_length_c 24.4979
_cell_angle_alpha 90.00
_cell_angle_beta 90.00
_cell_angle_gamma 120.00
_symmetry_space_group_name_H-M 'R -3 m'
_symmetry_Int_Tables_number 166
_symmetry_space_group_name_Hall '-R 3 2"'
loop_
_atom_site_label
_atom_site_type_symbol
_atom_site_fract_x
_atom_site_fract_y
_atom_site_fract_z
Na1 Na 0.0000 0.0000 0.1079
Na2 Na 0.0000 0.0000 0.3668
Tl1 Tl 0.0000 0.0000 0.5000
Hg1 Hg 0.0000 0.0000 0.2366
```

Density ... 5.77 g/cm³
VASP energy ... -1.34 eV per atom

---

(3)
Na12Tl5Hg2 | PBE | optimized geometry

The structure in CIF format:
```
data_Na12Tl5Hg2
_cell_length_a 23.169
_cell_length_b 10.074
_cell_length_c 4.907
_cell_angle_alpha 90.00
_cell_angle_beta 102.06
_cell_angle_gamma 90.00
_symmetry_space_group_name_H-M 'C 1 2/m 1'
_symmetry_Int_Tables_number 12
_symmetry_space_group_name_Hall '-C 2y'
loop_
_atom_site_label
_atom_site_type_symbol
_atom_site_fract_x
_atom_site_fract_y
_atom_site_fract_z
Na1 Na 0.080 0.000 0.081
Na2 Na 0.091 0.240 0.591
Na3 Na 0.100 0.500 0.100
Na4 Na 0.201 0.242 0.201
Tl1 Tl 0.000 0.500 0.500
Tl2 Tl 0.197 0.000 0.698
Tl3 Tl 0.198 0.500 0.698
Hg1 Hg 0.000 0.273 0.000
```

Density ... 5.04 g/cm³
VASP energy ... -1.61 eV per atom

---

(4)
NaTlHg2 | PBE | optimized geometry

The structure in CIF format:
```
data_NaTlHg2
_cell_length_a 8.442
_cell_length_b 8.442
_cell_length_c 6.586
_cell_angle_alpha 90.00
_cell_angle_beta 90.00
_cell_angle_gamma 90.00
_symmetry_space_group_name_H-M 'I -4 2 d'
_symmetry_Int_Tables_number 122
_symmetry_space_group_name_Hall 'I -4 2bw'
loop_
_atom_site_label
_atom_site_type_symbol
_atom_site_fract_x
_atom_site_fract_y
_atom_site_fract_z
Na1 Na 0.000 0.000 0.000
Tl1 Tl 0.000 0.000 0.500
Hg1 Hg 0.248 0.250 0.125
```

Density ... 8.89 g/cm³
VASP energy ... -1.13 eV per atom